No. 1
DFT (GGA-PBE) results for a geometry-optimized Cu2Ir2SeS3 structure.

abc: 6.2644 6.2644 5.6963
angles: 116.85 116.85 49.08
Sites, in units of the cell vectors:
Cu 0.3149 0.4604 0.1554
Cu 0.5396 0.6851 0.8446
Ir 0.1122 0.2017 0.4117
Ir 0.7983 0.8878 0.5883
S 0.4481 0.0538 0.2198
S 0.1543 0.8457 0.5000
S 0.9462 0.5519 0.7802
Se 0.7155 0.2845 0.0000

- Space group: C2 (5)
- E_tot: -5.21 eV/atom

***

No. 2
DFT (GGA-PBE) results for a geometry-optimized Hf2CdPb structure.

abc: 5.1236 5.1236 5.1236
angles: 60.00 60.00 60.00
Each line ends with the local moment (μB).
Sites, in units of the cell vectors:
Cd 0.2500 0.2500 0.2500  0.01
Hf 0.0000 0.0000 0.0000  0.76
Hf 0.7500 0.7500 0.7500  0.71
Pb 0.5000 0.5000 0.5000  -0.02

- Space group: F-43m (216)
- E_tot: -5.65 eV/atom

***

No. 3
DFT (GGA-PBE) results for a geometry-optimized LuTeAuO structure.

abc: 10.0627 5.5903 5.5904
angles: 90.00 90.00 90.00
Sites, in units of the cell vectors:
Au 0.5014 0.2500 0.0000
Au 0.4986 0.7500 0.0000
Au 0.5014 0.2500 0.5000
Au 0.4986 0.7500 0.5000
Lu 0.8983 0.0000 0.2500
Lu 0.1017 0.5000 0.2500
Lu 0.1017 0.0000 0.7500
Lu 0.8983 0.5000 0.7500
O 0.0000 0.2500 0.0000
O 0.0000 0.7500 0.0000
O 0.0000 0.2500 0.5000
O 0.0000 0.7500 0.5000
Te 0.2807 0.0012 0.2500
Te 0.7193 0.5012 0.2500
Te 0.2807 0.4988 0.7500
Te 0.7193 0.9988 0.7500

- Space group: Pbcm (57)
- E_tot: -5.71 eV/atom

***

No. 4
DFT (GGA-PBE) results for a geometry-optimized Na2FeNiH6 structure.

abc: 4.7957 4.7957 4.7957
angles: 59.62 59.62 59.62
Each line ends with the local moment (μB).
Sites, in units of the cell vectors:
Fe 0.5000 0.5000 0.5000  1.16
H 0.2524 0.7496 0.2486  -0.01
H 0.7514 0.7476 0.2504  0.00
H 0.7496 0.2486 0.2524  0.00
H 0.2504 0.7514 0.7476  0.00
H 0.2486 0.2524 0.7496  0.00
H 0.7476 0.2504 0.7514  -0.01
Na 0.2505 0.2505 0.2505  0.00
Na 0.7495 0.7495 0.7495  0.00
Ni 0.0000 0.0000 0.0000  0.15

- Space group: R-3 (148)
- E_tot: -3.70 eV/atom

***

No. 5
DFT (GGA-PBE) results for a geometry-optimized CsMgCoTe structure.

abc: 5.3516 5.3516 5.3516
angles: 60.00 60.00 60.00
Sites, in units of the cell vectors:
Co 0.5000 0.5000 0.5000
Cs 0.0000 0.0000 0.0000
Mg 0.7500 0.7500 0.7500
Te 0.2500 0.2500 0.2500

- Space group: F-43m (216)
- E_tot: -2.48 eV/atom

***

No. 6
DFT (GGA-PBE) results for a geometry-optimized MgTlFeHg structure.

abc: 4.8302 4.8302 4.8302
angles: 60.00 60.00 60.00
Sites, in units of the cell vectors:
Fe 0.7500 0.7500 0.7500
Hg 0.5000 0.5000 0.5000
Mg 0.2500 0.2500 0.2500
Tl 0.0000 0.0000 0.0000

- Space group: F-43m (216)
- E_tot: -2.80 eV/atom

***

No. 7
DFT (GGA-PBE) results for a geometry-optimized Dy3Sc3FeTe2 structure.

abc: 8.1155 8.1155 3.8187
angles: 90.00 90.00 120.00
Each line ends with the local moment (μB).
Sites, in units of the cell vectors:
Dy 0.2420 0.0000 0.0000  0.11
Dy 0.0000 0.2420 0.0000  0.10
Dy 0.7580 0.7580 0.0000  0.11
Fe 0.0000 0.0000 0.5000  -1.12
Sc 0.6071 0.0000 0.5000  0.05
Sc 0.3929 0.3929 0.5000  0.04
Sc 0.0000 0.6071 0.5000  0.03
Te 0.6667 0.3333 0.0000  0.00
Te 0.3333 0.6667 0.0000  0.00

- Space group: P-62m (189)
- E_tot: -5.79 eV/atom

***

No. 8
DFT (GGA-PBE) results for a geometry-optimized PaBiO3 structure.

abc: 5.8858 5.8858 5.8858
angles: 65.58 65.58 65.58
Sites, in units of the cell vectors:
Bi 0.2500 0.2500 0.2500
Bi 0.7500 0.7500 0.7500
O 0.7500 0.3800 0.1200
O 0.6200 0.8800 0.2500
O 0.1200 0.7500 0.3800
O 0.8800 0.2500 0.6200
O 0.3800 0.1200 0.7500
O 0.2500 0.6200 0.8800
Pa 0.0000 0.0000 0.0000
Pa 0.5000 0.5000 0.5000

- Space group: R-3c (167)
- E_tot: -7.57 eV/atom

***

No. 9
DFT (GGA-PBE) results for a geometry-optimized GdHoH2Cl4 structure.

abc: 3.7533 3.7533 13.3598
angles: 90.00 90.00 120.00
Sites, in units of the cell vectors:
Cl 0.3333 0.6667 0.1323
Cl 0.6667 0.3333 0.3701
Cl 0.6667 0.3333 0.6299
Cl 0.3333 0.6667 0.8677
Gd 0.0000 0.0000 0.0000
H 0.6667 0.3333 0.0000
H 0.3333 0.6667 0.5000
Ho 0.0000 0.0000 0.5000

- Space group: P-6m2 (187)
- E_tot: -4.69 eV/atom

***

No. 10
DFT (GGA-PBE) results for a geometry-optimized GeIrO4 structure.

abc: 4.4747 3.0675 4.4876
angles: 90.00 90.26 90.00
Each line ends with the local moment (μB).
Sites, in units of the cell vectors:
Ge 0.0000 0.5000 0.0000  0.00
Ir 0.5000 0.0000 0.5000  0.18
O 0.8122 0.0000 0.1866  0.01
O 0.2990 0.5000 0.3002  0.03
O 0.7010 0.5000 0.6998  0.03
O 0.1878 0.0000 0.8134  0.01

- Space group: P2/m (10)
- E_tot: -6.65 eV/atom

***

No. 11
DFT (GGA-PBE) results for a geometry-optimized LuAl structure.

abc: 4.1721 4.1721 4.1721
angles: 60.00 60.00 60.00
Each line ends with the local moment (μB).
Sites, in units of the cell vectors:
Al 0.0000 0.0000 0.0000  0.02
Lu 0.5000 0.5000 0.5000  0.08

- Space group: Fm-3m (225)
- E_tot: -3.98 eV/atom

***

No. 12
DFT (GGA-PBE) results for a geometry-optimized Cs2NaCoC6N6 structure.

abc: 7.5205 7.6182 10.7628
angles: 90.00 90.01 90.00
Sites, in units of the cell vectors:
C 0.7997 0.1413 0.0169
C 0.8587 0.8014 0.0206
C 0.0384 0.0059 0.1708
C 0.4616 0.5059 0.3292
C 0.6413 0.3014 0.4794
C 0.7003 0.6413 0.4831
C 0.2997 0.3587 0.5169
C 0.3587 0.6986 0.5206
C 0.5384 0.4941 0.6708
C 0.9616 0.9941 0.8292
C 0.1413 0.1986 0.9794
C 0.2003 0.8587 0.9831
Co 0.0000 0.0000 0.0000
Co 0.5000 0.5000 0.5000
Cs 0.9924 0.4645 0.2500
Cs 0.5076 0.9645 0.2500
Cs 0.4924 0.0355 0.7500
Cs 0.0076 0.5355 0.7500
N 0.6723 0.2293 0.0281
N 0.7704 0.6756 0.0349
N 0.4358 0.5120 0.2216
N 0.0642 0.0120 0.2784
N 0.7296 0.1756 0.4651
N 0.8277 0.7292 0.4719
N 0.1723 0.2708 0.5281
N 0.2704 0.8244 0.5349
N 0.9358 0.9880 0.7216
N 0.5642 0.4880 0.7784
N 0.2296 0.3244 0.9651
N 0.3277 0.7708 0.9719
Na 0.5000 0.5000 0.0000
Na 0.0000 0.0000 0.5000

- Space group: P2_1/c (14)
- E_tot: -7.38 eV/atom

***

No. 13
DFT (GGA-PBE) results for a geometry-optimized KRe3Bi5 structure.

abc: 5.8075 5.8075 9.1161
angles: 90.00 90.00 120.00
Each line ends with the local moment (μB).
Sites, in units of the cell vectors:
Bi 0.6667 0.3333 0.2429  0.00
Bi 0.3333 0.6667 0.2429  0.00
Bi 0.0000 0.0000 0.5000  0.02
Bi 0.6667 0.3333 0.7571  0.00
Bi 0.3333 0.6667 0.7571  0.00
K 0.0000 0.0000 0.0000  0.00
Re 0.5000 0.0000 0.5000  1.09
Re 0.0000 0.5000 0.5000  1.22
Re 0.5000 0.5000 0.5000  1.01

- Space group: P6/mmm (191)
- E_tot: -6.02 eV/atom

***

No. 14
DFT (GGA-PBE) results for a geometry-optimized TbErZr structure.

abc: 5.2065 5.2065 5.2065
angles: 60.00 60.00 60.00
Each line ends with the local moment (μB).
Sites, in units of the cell vectors:
Er 0.2500 0.2500 0.2500  0.19
Tb 0.7500 0.7500 0.7500  0.17
Zr 0.0000 0.0000 0.0000  0.62

- Space group: F-43m (216)
- E_tot: -5.12 eV/atom
- Formation enthalpy at 0 K: 0.792 eV per atom

***

No. 15
DFT (GGA-PBE) results for a geometry-optimized HoAlFe structure.

abc: 4.3635 4.3635 4.3635
angles: 60.00 60.00 60.00
Each line ends with the local moment (μB).
Sites, in units of the cell vectors:
Al 0.2500 0.2500 0.2500  -0.01
Fe 0.0000 0.0000 0.0000  0.08
Ho 0.7500 0.7500 0.7500  0.00

- Space group: F-43m (216)
- E_tot: -5.46 eV/atom

***

No. 16
DFT (GGA-PBE) results for a geometry-optimized TmNbN2O structure.

abc: 5.4322 5.4886 5.8651
angles: 91.57 116.75 119.23
Sites, in units of the cell vectors:
N 0.2127 0.4243 0.2397
N 0.4750 0.0274 0.2686
N 0.7604 0.5553 0.7295
N 0.1764 0.2014 0.7405
Nb 0.3080 0.1813 0.4322
Nb 0.7239 0.8668 0.5690
O 0.8228 0.7817 0.2627
O 0.5383 0.9597 0.7578
Tm 0.7128 0.3604 0.0857
Tm 0.2695 0.6416 0.9144

- Space group: P1 (1)
- E_tot: -9.02 eV/atom

***

No. 17
DFT (GGA-PBE) results for a geometry-optimized AsIr17 structure.

abc: 5.4382 5.4382 32.5679
angles: 90.00 90.00 120.00
Sites, in units of the cell vectors:
As 0.3333 0.6667 0.2783
As 0.6667 0.3333 0.7217
Ir 0.0000 0.0000 0.0000
Ir 0.5000 0.0000 0.0000
Ir 0.0000 0.5000 0.0000
Ir 0.5000 0.5000 0.0000
Ir 0.3333 0.6667 0.0685
Ir 0.3335 0.1667 0.0687
Ir 0.8333 0.1667 0.0687
Ir 0.8333 0.6665 0.0687
Ir 0.6667 0.3333 0.1369
Ir 0.1667 0.3333 0.1376
Ir 0.1667 0.8333 0.1376
Ir 0.6667 0.8333 0.1376
Ir 0.0009 0.5004 0.2059
Ir 0.4996 0.5004 0.2059
Ir 0.4996 0.9991 0.2059
Ir 0.0000 0.0000 0.2062
Ir 0.3312 0.1656 0.2734
Ir 0.8344 0.1656 0.2734
Ir 0.8344 0.6688 0.2734
Ir 0.1656 0.3312 0.7266
Ir 0.1656 0.8344 0.7266
Ir 0.6688 0.8344 0.7266
Ir 0.0000 0.0000 0.7938
Ir 0.5004 0.0009 0.7941
Ir 0.5004 0.4996 0.7941
Ir 0.9991 0.4996 0.7941
Ir 0.3333 0.1667 0.8624
Ir 0.8333 0.1667 0.8624
Ir 0.8333 0.6667 0.8624
Ir 0.3333 0.6667 0.8631
Ir 0.1667 0.3335 0.9313
Ir 0.1667 0.8333 0.9313
Ir 0.6665 0.8333 0.9313
Ir 0.6667 0.3333 0.9315

- Space group: P-3m1 (164)
- E_tot: -8.44 eV/atom

***

No. 18
DFT (GGA-PBE) results for a geometry-optimized Lu2ScP3 structure.

abc: 3.8658 3.8658 9.4460
angles: 90.00 90.00 120.00
Sites, in units of the cell vectors:
Lu 0.6667 0.3333 0.1705
Lu 0.3333 0.6667 0.8295
P 0.0000 0.0000 0.0000
P 0.3333 0.6667 0.3415
P 0.6667 0.3333 0.6585
Sc 0.0000 0.0000 0.5000

- Space group: P-3m1 (164)
- E_tot: -6.82 eV/atom

***

No. 19
DFT (GGA-PBE) results for a geometry-optimized MgCdNO structure.

abc: 4.5952 4.5952 4.3966
angles: 90.00 90.00 90.00
Sites, in units of the cell vectors:
Cd 0.7500 0.7500 0.0004
Cd 0.2500 0.2500 0.9996
Mg 0.7500 0.2500 0.5000
Mg 0.2500 0.7500 0.5000
N 0.2500 0.2500 0.4996
N 0.7500 0.7500 0.5004
O 0.7500 0.2500 0.0000
O 0.2500 0.7500 0.0000

- Space group: P4/mmm (123)
- E_tot: -4.50 eV/atom

***

No. 20
DFT (GGA-PBE) results for a geometry-optimized LaTcPO structure.

abc: 4.4356 4.1751 7.1944
angles: 90.00 90.00 90.00
Each line ends with the local moment (μB).
Sites, in units of the cell vectors:
La 0.0000 0.2414 0.1044  0.01
La 0.0000 0.7586 0.6044  0.01
O 0.0000 0.2602 0.4371  0.00
O 0.0000 0.7398 0.9371  0.00
P 0.5000 0.7605 0.2728  0.01
P 0.5000 0.2395 0.7728  0.01
Tc 0.5000 0.2614 0.4396  0.07
Tc 0.5000 0.7386 0.9396  0.07

- Space group: Pmc2_1 (26)
- E_tot: -7.91 eV/atom